[1]
This record from the Alexandria database describes a relaxed structure of La3GaCl2. The functional is PBE.

Unit cell a=4.483 b=5.984 c=12.319 alpha=90.00 beta=90.00 gamma=90.00
Space group Immm (No. 71)
Symmetry-distinct sites (fractional):
La  0.000  0.000  0.000 x2
La  0.000  0.000  0.332 x4
Ga  0.000  0.500  0.000 x2
Cl  0.000  0.500  0.338 x4

Values from the calculation:
ΔE_f (raw): -7.8 eV per formula unit
energy above the most stable polymorph in this dataset: 0.0000 eV per atom

=====

[2]
This record from the Alexandria database describes a relaxed structure of YAg2Te. The functional is PBE.

Unit cell a=4.020 b=4.020 c=5.964 alpha=90.00 beta=90.00 gamma=90.00
Space group P4/mmm (No. 123)
Symmetry-distinct sites (fractional):
Y  0.000  0.000  0.000 x1
Ag  0.500  0.500  0.242 x2
Te  0.000  0.000  0.500 x1

Values from the calculation:
ΔE_f (raw): -1.4 eV per formula unit

=====

[3]
This record from the Alexandria database describes a relaxed structure of NiPdW2. The functional is PBE.

Unit cell a=6.189 b=6.189 c=6.189 alpha=90.00 beta=90.00 gamma=90.00
Space group Fm-3m (No. 225)
Symmetry-distinct sites (fractional):
Ni  0.000  0.000  0.000 x4
Pd  0.000  0.000  0.500 x4
W  0.250  0.250  0.250 x8

Values from the calculation:
energy above the most stable polymorph in this dataset: 0.0000 eV per atom
formation energy from the elements: 0.5136 eV/atom

=====

[4]
This record from the Alexandria database describes a relaxed structure of Ba2EuS. The functional is PBE.

Unit cell a=4.3109 b=4.3109 c=35.2968 alpha=90.00 beta=90.00 gamma=120.00
Space group R-3m (No. 166, hexagonal axes)
Symmetry-distinct sites (fractional):
Ba  0.0000  0.0000  0.1135 x6
Eu  0.0000  0.0000  0.0000 x3
S  0.0000  0.0000  0.5000 x3

Values from the calculation:
ΔE_f (raw): -3.3 eV per formula unit

=====

- Number 4 is which compound?
  Ba2EuS